No. 1
Compound: Te2AsRh
Source: Alexandria via LeMat-Bulk
Functional: PBE-GGA
Structure: optimized geometry

Lattice parameters (Å, degrees): 3.802 5.231 5.230 61.50 90.00 90.00
Sites, in units of the cell vectors:
Te (0.000, 0.949, 0.949)
As (0.000, 0.558, 0.558)
Te (0.500, 0.254, 0.254)
Rh (0.500, 0.739, 0.739)

symmetry = Amm2, No. 38
ρ = 7.87 g cm⁻³

No. 2
Compound: NiRu3
Source: Alexandria via LeMat-Bulk
Functional: PBE-GGA
Structure: optimized geometry

Lattice parameters (Å, degrees): 2.677 8.758 2.677 98.79 60.00 98.79
Sites, in units of the cell vectors:
Ru (0.500, 0.500, 0.500)
Ru (0.749, 0.246, 0.749)
Ni (0.000, 0.000, 0.000)
Ru (0.251, 0.754, 0.251)

symmetry = R-3m, No. 166
ρ = 11.23 g cm⁻³

No. 3
Compound: LiAgAs
Source: Alexandria via LeMat-Bulk
Functional: PBE-GGA
Structure: optimized geometry

Lattice parameters (Å, degrees): 4.474 4.474 3.126 90.00 90.00 120.00
Sites, in units of the cell vectors:
Li (0.333, 0.667, 0.667)
As (0.667, 0.333, 0.168)
Ag (0.000, 0.000, 0.165)

symmetry = P3m1, No. 156
ρ = 5.81 g cm⁻³

No. 4
Compound: Pa3CoSi3Tc2
Source: Alexandria via LeMat-Bulk
Functional: PBE-GGA
Structure: optimized geometry

Lattice parameters (Å, degrees): 3.887 6.888 6.888 120.00 90.00 90.00
Sites, in units of the cell vectors:
Si (0.500, 0.768, 0.000)
Tc (0.500, 0.333, 0.667)
Tc (0.500, 0.667, 0.333)
Co (0.000, 0.000, 0.000)
Si (0.500, 0.232, 0.232)
Pa (0.000, 0.590, 0.590)
Pa (0.000, 0.000, 0.410)
Pa (0.000, 0.410, 0.000)
Si (0.500, 0.000, 0.768)

symmetry = P-62m, No. 189
ρ = 10.73 g cm⁻³

No. 5
Compound: AlCuB2Mo
Source: Alexandria via LeMat-Bulk
Functional: PBE-GGA
Structure: optimized geometry

Lattice parameters (Å, degrees): 4.156 4.749 4.156 90.00 90.00 90.00
Sites, in units of the cell vectors:
B (0.500, 0.000, 0.000)
B (0.000, 0.000, 0.500)
Cu (0.500, 0.500, 0.500)
Mo (0.000, 0.000, 0.000)
Al (0.000, 0.500, 0.000)

symmetry = P4/mmm, No. 123
ρ = 4.21 g cm⁻³

No. 6
Compound: NaPr2TmSe4
Source: Alexandria via LeMat-Bulk
Functional: PBE-GGA
Structure: optimized geometry

Lattice parameters (Å, degrees): 4.164 7.241 7.281 109.00 90.00 90.00
Sites, in units of the cell vectors:
Pr (0.500, 0.000, 0.500)
Tm (0.000, 0.000, 0.000)
Se (0.000, 0.247, 0.762)
Se (0.000, 0.753, 0.238)
Se (0.500, 0.240, 0.231)
Na (0.500, 0.500, 0.000)
Pr (0.000, 0.500, 0.500)
Se (0.500, 0.760, 0.769)

symmetry = P2/m, No. 10
ρ = 6.32 g cm⁻³

No. 7
Compound: CuIr5Rh6
Source: Alexandria via LeMat-Bulk
Functional: PBE-GGA
Structure: optimized geometry

Lattice parameters (Å, degrees): 3.843 7.701 6.082 90.00 71.58 90.00
Sites, in units of the cell vectors:
Rh (0.166, 0.751, 0.669)
Ir (0.000, 0.500, 0.000)
Ir (0.330, 0.000, 0.340)
Ir (0.670, 0.000, 0.660)
Rh (0.166, 0.249, 0.669)
Rh (0.500, 0.253, 0.000)
Rh (0.834, 0.751, 0.331)
Rh (0.834, 0.249, 0.331)
Ir (0.668, 0.500, 0.664)
Ir (0.332, 0.500, 0.336)
Rh (0.500, 0.747, 0.000)
Cu (0.000, 0.000, 0.000)

symmetry = Cmmm, No. 65
ρ = 15.96 g cm⁻³

No. 8
Compound: V2GaHgMo
Source: Alexandria via LeMat-Bulk
Functional: PBE-GGA
Structure: optimized geometry

Lattice parameters (Å, degrees): 4.504 4.645 4.504 90.00 90.00 90.00
Sites, in units of the cell vectors:
V (0.500, 0.000, 0.000)
Hg (0.500, 0.500, 0.500)
Mo (0.000, 0.500, 0.000)
Ga (0.000, 0.000, 0.000)
V (0.000, 0.000, 0.500)

symmetry = P4/mmm, No. 123
ρ = 8.25 g cm⁻³

No. 9
Compound: FeMoPt2
Source: Alexandria via LeMat-Bulk
Functional: PBE-GGA
Structure: optimized geometry

Lattice parameters (Å, degrees): 3.286 3.286 5.551 90.00 90.00 90.00
Last column: magnetic moment on the atom in μB.
Sites, in units of the cell vectors:
Fe (0.000, 0.000, 0.490)  2.58
Pt (0.500, 0.500, 0.271)  0.12
Mo (0.500, 0.500, 0.745)  -0.27
Pt (0.000, 0.000, 0.993)  -0.03

symmetry = P4mm, No. 99
ρ = 15.01 g cm⁻³

No. 10
Compound: Sn3SbS
Source: Alexandria via LeMat-Bulk
Functional: PBE-GGA
Structure: optimized geometry

Lattice parameters (Å, degrees): 5.750 5.750 5.750 90.00 90.00 90.00
Sites, in units of the cell vectors:
Sn (0.000, 0.000, 0.500)
Sn (0.000, 0.500, 0.000)
Sb (0.000, 0.000, 0.000)
S (0.500, 0.500, 0.500)
Sn (0.500, 0.000, 0.000)

symmetry = Pm-3m, No. 221
ρ = 4.45 g cm⁻³

No. 11
Compound: NdTmSeS
Source: Alexandria via LeMat-Bulk
Functional: PBE-GGA
Structure: optimized geometry

Lattice parameters (Å, degrees): 3.916 3.918 7.438 90.00 105.25 120.01
Sites, in units of the cell vectors:
Nd (0.119, 0.957, 0.091)
Se (0.978, 0.387, 0.380)
S (0.294, 0.545, 0.855)
Tm (0.487, 0.141, 0.644)

symmetry = R3m, No. 160
ρ = 7.48 g cm⁻³

No. 12
Compound: CoSb2PdI
Source: Alexandria via LeMat-Bulk
Functional: PBE-GGA
Structure: optimized geometry

Lattice parameters (Å, degrees): 5.179 5.179 5.575 90.00 90.00 90.00
Last column: magnetic moment on the atom in μB.
Sites, in units of the cell vectors:
Sb (0.500, 0.000, 0.000)  -0.02
I (0.000, 0.000, 0.500)  0.02
Pd (0.000, 0.000, 0.000)  -0.01
Sb (0.000, 0.500, 0.000)  -0.02
Co (0.500, 0.500, 0.500)  2.17

symmetry = P4/mmm, No. 123
ρ = 5.95 g cm⁻³

| no. | raw total energy (Ha/atom) |
| --- | --- |
| 1 | -0.174 |
| 2 | -0.303 |
| 3 | -0.126 |
| 4 | -0.318 |
| 5 | -0.187 |
| 6 | -0.198 |
| 7 | -0.283 |
| 8 | -0.195 |
| 9 | -0.290 |
| 10 | -0.119 |
| 11 | -0.223 |
| 12 | -0.129 |